VASP calculation (PBE-GGA) on a relaxed NaLiCaEu crystal.

Total magnetic moment in Bohr magnetons per cell: 7.68
Space-group type: F-43m
Density in g/cm³: 2.56
Formation energy in meV per atom: 86.8

POSCAR file:
```
NaLiCaEu
1.0
0.0000 4.1615 4.1615
4.1615 0.0000 4.1615
4.1615 4.1615 0.0000
Na Li Ca Eu
1 1 1 1
direct
0.0000 0.0000 0.0000
0.5000 0.5000 0.5000
0.7500 0.7500 0.7500
0.2500 0.2500 0.2500
```

VASP calculation (PBE-GGA) on a relaxed LiCaEuPd crystal.

Total magnetic moment in Bohr magnetons per cell: 7.53
Space-group type: F-43m
Density in g/cm³: 5.06
Formation energy in meV per atom: -326.5

POSCAR file:
```
LiCaEuPd
1.0
0.0000 3.6863 3.6863
3.6863 0.0000 3.6863
3.6863 3.6863 0.0000
Li Ca Eu Pd
1 1 1 1
direct
0.0000 0.0000 0.0000
0.2500 0.2500 0.2500
0.7500 0.7500 0.7500
0.5000 0.5000 0.5000
```